! CrOF GGA+U relaxed; values from VASP
! - Uncorrected energy: -6.9812 eV per atom
! - Fermi-level density of states: 0.000 states/eV/cell
! - Space group: Pnma, No. 62
! - Volume: 148 Å³ per cell
&SYSTEM
  ibrav = 0, nat = 12, ntyp = 3
/
ATOMIC_SPECIES
Cr 52.00 Cr.upf
O 16.00 O.upf
F 19.00 F.upf
CELL_PARAMETERS angstrom
9.892 0.000 0.000
0.000 3.068 0.000
0.000 0.000 4.870
ATOMIC_POSITIONS crystal
Cr 0.122 0.250 0.056
Cr 0.378 0.750 0.556
Cr 0.622 0.250 0.444
Cr 0.878 0.750 0.944
O 0.026 0.750 0.208
O 0.474 0.250 0.708
O 0.526 0.750 0.292
O 0.974 0.250 0.792
F 0.231 0.750 0.864
F 0.269 0.250 0.364
F 0.731 0.750 0.636
F 0.769 0.250 0.136